# 1
First-principles (PBE) data for a geometry-optimized SiSn2PPb structure, as listed in Alexandria.

Summary:
D(E_F)	3.34	states/eV/cell
electronic total energy	-3.18	eV per atom
space group	P4/mmm

abc: 5.7874 5.7874 5.1633
angles: 90.00 90.00 90.00
With the nearest neighbours (Å) after each atom.
Sites, in units of the cell vectors:
Si 0.0000 0.0000 0.0000  2 Pb 2.58
Sn 0.0000 0.5000 0.5000  2 Pb 2.89
Sn 0.5000 0.0000 0.5000  2 Pb 2.89
P 0.5000 0.5000 0.0000  8 Sn 3.88, 4 Si 4.09
Pb 0.0000 0.0000 0.5000  2 Si 2.58

---

# 2
First-principles (PBE) data for a geometry-optimized TlInHg6Pb2 structure, as listed in Alexandria.

Summary:
D(E_F)	7.45	states/eV/cell
space group	P2_1/c
E_form	0.38	eV/f.u.

abc: 7.0241 9.7203 10.0232
angles: 90.00 122.89 90.00
With the nearest neighbours (Å) after each atom.
Sites, in units of the cell vectors:
Tl 0.0000 0.0000 0.0000  4 Hg 3.21-3.31, 2 Pb 3.46
Tl 0.0000 0.5000 0.5000  4 Hg 3.21-3.31, 2 Pb 3.46
In 0.5000 0.0000 0.5000  6 Hg 3.03-3.18
In 0.5000 0.5000 0.0000  6 Hg 3.03-3.18
Hg 0.0754 0.1352 0.4456  1 In 3.03, 4 Hg 3.09-3.32, 1 Pb 3.31
Hg 0.0754 0.3648 0.9456  1 In 3.03, 4 Hg 3.09-3.32, 1 Pb 3.31
Hg 0.1908 0.7496 0.3964  1 In 3.04, 4 Hg 3.09-3.32, 1 Tl 3.21, 1 Pb 3.26
Hg 0.1908 0.7504 0.8964  1 In 3.04, 4 Hg 3.09-3.32, 1 Tl 3.21, 1 Pb 3.26
Hg 0.4858 0.1655 0.2216  3 Pb 3.13-3.44, 1 In 3.18, 4 Hg 3.19-3.49, 1 Tl 3.31
Hg 0.4858 0.3345 0.7216  3 Pb 3.13-3.44, 1 In 3.18, 4 Hg 3.19-3.49, 1 Tl 3.31
Hg 0.5142 0.6655 0.2784  3 Pb 3.13-3.44, 1 In 3.18, 4 Hg 3.19-3.49, 1 Tl 3.31
Hg 0.5142 0.8345 0.7784  3 Pb 3.13-3.44, 1 In 3.18, 4 Hg 3.19-3.49, 1 Tl 3.31
Hg 0.8092 0.2496 0.1036  1 In 3.04, 4 Hg 3.09-3.32, 1 Tl 3.21, 1 Pb 3.26
Hg 0.8092 0.2504 0.6036  1 In 3.04, 4 Hg 3.09-3.32, 1 Tl 3.21, 1 Pb 3.26
Hg 0.9246 0.6352 0.0544  1 In 3.03, 4 Hg 3.09-3.32, 1 Pb 3.31
Hg 0.9246 0.8648 0.5544  1 In 3.03, 4 Hg 3.09-3.32, 1 Pb 3.31
Pb 0.2976 0.0991 0.8315  7 Hg 3.13-3.44, 1 Tl 3.46
Pb 0.2976 0.4009 0.3315  7 Hg 3.13-3.44, 1 Tl 3.46
Pb 0.7024 0.5991 0.6685  7 Hg 3.13-3.44, 1 Tl 3.46
Pb 0.7024 0.9009 0.1685  7 Hg 3.13-3.44, 1 Tl 3.46

---

# 3
First-principles (PBE) data for a geometry-optimized KCoMo2Ru structure, as listed in Alexandria.

Summary:
D(E_F)	8.24	states/eV/cell
space group	P4/mmm
E_form	15.13	eV/f.u.

abc: 4.4874 4.4874 4.1213
angles: 90.00 90.00 90.00
With the nearest neighbours (Å) after each atom.
Sites, in units of the cell vectors:
K 0.0000 0.0000 0.0000  2 Co 2.06, 4 Mo 2.24
Co 0.0000 0.0000 0.5000  2 K 2.06
Mo 0.0000 0.5000 0.0000  2 K 2.24
Mo 0.5000 0.0000 0.0000  2 K 2.24
Ru 0.5000 0.5000 0.5000  8 Mo 3.05, 4 Co 3.17

---

# 4
First-principles (PBE) data for a geometry-optimized TlGaTc3 structure, as listed in Alexandria.

Summary:
excess energy over the best structure of this formula in the dataset	0.0	meV/atom
D(E_F)	5.41	states/eV/cell
space group	Pm-3m
E_form	6.81	eV/f.u.

abc: 4.6210 4.6210 4.6210
angles: 90.00 90.00 90.00
With the nearest neighbours (Å) after each atom.
Sites, in units of the cell vectors:
Tl 0.0000 0.0000 0.0000  12 Tc 3.27
Ga 0.5000 0.5000 0.5000  6 Tc 2.31
Tc 0.0000 0.5000 0.5000  2 Ga 2.31
Tc 0.5000 0.0000 0.5000  2 Ga 2.31
Tc 0.5000 0.5000 0.0000  2 Ga 2.31

---

# 5
First-principles (PBE) data for a geometry-optimized Ac2H8Rh structure, as listed in Alexandria.

Summary:
D(E_F)	3.21	states/eV/cell
electronic total energy	-4.18	eV per atom
space group	C2/m

abc: 7.3743 7.3743 4.6098
angles: 108.16 108.16 32.34
With the nearest neighbours (Å) after each atom.
Sites, in units of the cell vectors:
Ac 0.1447 0.1447 0.1440  10 H 2.38-2.64
Ac 0.8553 0.8553 0.8560  10 H 2.38-2.64
H 0.0000 0.0000 0.2979  1 H 1.86
H 0.0000 0.0000 0.7021  1 H 1.86
H 0.2407 0.2407 0.7396  2 H 2.48-2.49, 4 Ac 2.56-2.64
H 0.3985 0.3985 0.1794  1 Rh 1.69
H 0.4018 0.4018 0.6326  1 Rh 1.69
H 0.5982 0.5982 0.3674  1 Rh 1.69
H 0.6015 0.6015 0.8206  1 Rh 1.69
H 0.7593 0.7593 0.2604  2 H 2.48-2.49, 4 Ac 2.56-2.64
Rh 0.5000 0.5000 0.5000  4 H 1.69

---

# 6
First-principles (PBE) data for a geometry-optimized NaMn3Os structure, as listed in Alexandria.

Summary:
excess energy over the best structure of this formula in the dataset	1152.4	meV/atom
D(E_F)	7.06	states/eV/cell
space group	Pm-3m
E_form	10.74	eV/f.u.

abc: 4.4195 4.4195 4.4195
angles: 90.00 90.00 90.00
With the nearest neighbours (Å) after each atom.
Sites, in units of the cell vectors:
Na 0.0000 0.0000 0.0000  6 Mn 2.21
Mn 0.0000 0.0000 0.5000  2 Na 2.21
Mn 0.0000 0.5000 0.0000  2 Na 2.21
Mn 0.5000 0.0000 0.0000  2 Na 2.21
Os 0.5000 0.5000 0.5000  12 Mn 3.13

---

# 7
First-principles (PBE) data for a geometry-optimized Cu2P2Au structure, as listed in Alexandria.

Summary:
excess energy over the best structure of this formula in the dataset	0.0	meV/atom
D(E_F)	2.29	states/eV/cell
space group	I4/mmm
E_form	0.97	eV/f.u.

abc: 5.4651 5.4651 5.4651
angles: 136.56 136.56 63.11
With the nearest neighbours (Å) after each atom.
Sites, in units of the cell vectors:
Cu 0.2500 0.7500 0.5000  4 P 2.37
Cu 0.7500 0.2500 0.5000  4 P 2.37
P 0.1166 0.1166 0.0000  1 P 2.17, 4 Cu 2.37
P 0.8834 0.8834 0.0000  1 P 2.17, 4 Cu 2.37
Au 0.5000 0.5000 0.0000  8 P 3.06, 8 Cu 3.08

---

# 8
First-principles (PBE) data for a geometry-optimized SbH3 structure, as listed in Alexandria.

Summary:
excess energy over the best structure of this formula in the dataset	0.0	meV/atom
D(E_F)	0.01	states/eV/cell
space group	Imm2

abc: 4.5581 4.5581 4.5581
angles: 128.51 85.17 117.48
With the nearest neighbours (Å) after each atom.
Sites, in units of the cell vectors:
Sb 0.0000 0.0000 0.0000  2 H 1.74
H 0.5576 0.7439 0.8137  1 Sb 1.74
H 0.9302 0.7439 0.1863  1 Sb 1.74
H 0.9412 0.4412 0.5000  2 Sb 2.00

---

# 9
First-principles (PBE) data for a geometry-optimized LaAgSn structure, as listed in Alexandria.

Summary:
D(E_F)	3.42	states/eV/cell
space group	Cmcm
E_form	-1.21	eV/f.u.

abc: 9.1070 9.1070 4.3108
angles: 90.00 90.00 151.69
With the nearest neighbours (Å) after each atom.
Sites, in units of the cell vectors:
La 0.1073 0.8927 0.7500  1 Ag 3.09, 4 Sn 3.24
La 0.8927 0.1073 0.2500  1 Ag 3.09, 4 Sn 3.24
Ag 0.2825 0.7175 0.7500  1 Sn 2.89, 1 La 3.09
Ag 0.7175 0.2825 0.2500  1 Sn 2.89, 1 La 3.09
Sn 0.4463 0.5537 0.7500  2 Sn 2.87, 1 Ag 2.89
Sn 0.5537 0.4463 0.2500  2 Sn 2.87, 1 Ag 2.89

---

# 10
First-principles (PBE) data for a geometry-optimized ZrBe2Ag structure, as listed in Alexandria.

Summary:
excess energy over the best structure of this formula in the dataset	0.0	meV/atom
D(E_F)	1.64	states/eV/cell
space group	Amm2
E_form	0.05	eV/f.u.

abc: 3.7932 5.0003 5.0003
angles: 37.57 90.00 90.00
With the nearest neighbours (Å) after each atom.
Sites, in units of the cell vectors:
Zr 0.0000 0.0000 0.0000  7 Be 2.60-2.69
Be 0.0000 0.2845 0.2845  2 Be 2.21
Be 0.5000 0.4038 0.4038  2 Be 2.21, 2 Ag 2.47
Ag 0.5000 0.7057 0.7057  6 Be 2.47-2.60

---

# 11
First-principles (PBE) data for a geometry-optimized PrY4Te5 structure, as listed in Alexandria.

Summary:
excess energy over the best structure of this formula in the dataset	0.0	meV/atom
D(E_F)	5.62	states/eV/cell
space group	I4/mmm

abc: 16.0442 16.0442 16.0442
angles: 164.32 164.32 22.25
With the nearest neighbours (Å) after each atom.
Sites, in units of the cell vectors:
Pr 0.0000 0.0000 0.0000  6 Te 3.10-3.30
Y 0.2080 0.2080 0.0000  6 Te 3.06-3.25
Y 0.4051 0.4051 0.0000  6 Te 2.99-3.14
Y 0.5949 0.5949 0.0000  6 Te 2.99-3.14
Y 0.7920 0.7920 0.0000  6 Te 3.06-3.25
Te 0.1049 0.1049 0.0000  5 Y 3.11-3.25, 1 Pr 3.30
Te 0.3053 0.3053 0.0000  6 Y 3.06-3.14
Te 0.5000 0.5000 0.0000  2 Y 2.99, 4 Pr 3.10
Te 0.6947 0.6947 0.0000  6 Y 3.06-3.14
Te 0.8951 0.8951 0.0000  5 Y 3.11-3.25, 1 Pr 3.30

---

# 12
First-principles (PBE) data for a geometry-optimized YHoPu structure, as listed in Alexandria.

Summary:
excess energy over the best structure of this formula in the dataset	12.9	meV/atom
D(E_F)	9.08	states/eV/cell
space group	P3m1
E_form	0.38	eV/f.u.

abc: 3.5157 3.5157 8.5372
angles: 90.00 90.00 120.00
With the nearest neighbours (Å) after each atom.
Sites, in units of the cell vectors:
Y 0.0000 0.0000 0.0000  3 Pu 3.50, 6 Y 3.52, 3 Ho 3.53
Ho 0.3333 0.6667 0.6624  3 Pu 3.47, 6 Ho 3.52, 3 Y 3.53
Pu 0.6667 0.3333 0.3333  3 Ho 3.47, 3 Y 3.50, 6 Pu 3.52